Below is BaSrCa2 after structural relaxation, with properties calculated at the PBE-GGA level.

Symmetry: Cm (8)
Energy, eV for the cell shown: -7.49
Crystal system: monoclinic
Energy of formation, eV per atom: 0.028
Magnetization, μB/cell: 0.000
DOS(E_F), states/eV/atom: 1.1603

Cell lengths 7.1716, 7.1716, 7.1670 Å; angles 100.08, 100.08, 33.61 degrees
Fractional positions:
Ba: 0.0000 0.0000 0.0000
Sr: 0.7590 0.7590 0.2733
Ca: 0.2476 0.2476 0.7544
Ca: 0.5083 0.5083 0.5106